Version w
Computed, not measured: Pr8Zn2Rh after structural relaxation at the GGA-PBE level of DFT.

Values from the calculation:
The value obtained for the volume is 323.2 Å³/cell. As for the density of states at the Fermi level: 12.62 states/eV per cell.

CIF file:
```
data_Pr8Zn2Rh
_chemical_formula_sum 'Pr8 Zn2 Rh1'
_space_group_name_H-M_alt 'P 1'
_space_group_IT_number 1
_space_group_name_Hall 'P 1'
_cell_length_a 4.9868
_cell_length_b 8.8872
_cell_length_c 8.8964
_cell_angle_alpha 119.97
_cell_angle_beta 106.28
_cell_angle_gamma 90.00
loop_
_atom_site_label
_atom_site_type_symbol
_atom_site_fract_x
_atom_site_fract_y
_atom_site_fract_z
_atom_site_occupancy
Pr1 Pr 0.8788 0.8788 0.7576 1
Pr2 Pr 0.1212 0.1212 0.2424 1
Pr3 Pr 0.0000 0.3336 0.0000 1
Pr4 Pr 0.3404 0.1202 0.6808 1
Pr5 Pr 0.6596 0.4394 0.3193 1
Pr6 Pr 0.6596 0.8798 0.3192 1
Pr7 Pr 0.3404 0.5606 0.6807 1
Pr8 Pr 0.0000 0.6664 0.0000 1
Zn1 Zn 0.8006 0.3006 0.6011 1
Zn2 Zn 0.1994 0.6994 0.3989 1
Rh1 Rh 0.5000 0.0000 0.0000 1
```

***

Version x
Computed, not measured: Pr8Zn2Rh after structural relaxation at the GGA-PBE level of DFT.

Values from the calculation:
The value obtained for the volume is 328.3 Å³/cell. As for the density of states at the Fermi level: 11.12 states/eV per cell.

CIF file:
```
data_Pr8Zn2Rh
_chemical_formula_sum 'Pr8 Zn2 Rh1'
_space_group_name_H-M_alt 'P 1'
_space_group_IT_number 1
_space_group_name_Hall 'P 1'
_cell_length_a 5.2539
_cell_length_b 6.9389
_cell_length_c 9.5298
_cell_angle_alpha 100.15
_cell_angle_beta 106.00
_cell_angle_gamma 90.00
loop_
_atom_site_label
_atom_site_type_symbol
_atom_site_fract_x
_atom_site_fract_y
_atom_site_fract_z
_atom_site_occupancy
Zn1 Zn 0.1946 0.7458 0.3893 1
Zn2 Zn 0.8054 0.2542 0.6107 1
Pr1 Pr 0.5897 0.4386 0.1794 1
Pr2 Pr 0.9726 0.2198 0.9453 1
Pr3 Pr 0.2014 0.3175 0.4028 1
Pr4 Pr 0.6561 0.9589 0.3122 1
Pr5 Pr 0.4103 0.5614 0.8206 1
Pr6 Pr 0.3439 0.0411 0.6878 1
Pr7 Pr 0.7986 0.6825 0.5972 1
Pr8 Pr 0.0274 0.7802 0.0547 1
Rh1 Rh 0.5000 0.0000 0.0000 1
```

***

Name the most stable of them. version x.

***

Version w
Computed, not measured: Pr2RuSe after structural relaxation at the GGA-PBE level of DFT.

Values from the calculation:
The value obtained for the volume is 96.7 Å³/cell. As for the density of states at the Fermi level: 0.97 states/eV per cell.

CIF file:
```
data_Pr2RuSe
_chemical_formula_sum 'Pr2 Ru1 Se1'
_space_group_name_H-M_alt 'P 1'
_space_group_IT_number 1
_space_group_name_Hall 'P 1'
_cell_length_a 3.5863
_cell_length_b 3.5863
_cell_length_c 7.5173
_cell_angle_alpha 90.00
_cell_angle_beta 90.00
_cell_angle_gamma 90.00
loop_
_atom_site_label
_atom_site_type_symbol
_atom_site_fract_x
_atom_site_fract_y
_atom_site_fract_z
_atom_site_occupancy
Ru1 Ru 0.5000 0.5000 0.0000 1
Se1 Se 0.5000 0.5000 0.5000 1
Pr1 Pr 0.0000 0.0000 0.7650 1
Pr2 Pr 0.0000 0.0000 0.2350 1
```

***

Version x
Computed, not measured: Pr2RuSe after structural relaxation at the GGA-PBE level of DFT.

Values from the calculation:
The value obtained for the volume is 108.9 Å³/cell. As for the density of states at the Fermi level: 2.43 states/eV per cell.

CIF file:
```
data_Pr2RuSe
_chemical_formula_sum 'Pr2 Ru1 Se1'
_space_group_name_H-M_alt 'P 1'
_space_group_IT_number 1
_space_group_name_Hall 'P 1'
_cell_length_a 4.1595
_cell_length_b 4.1595
_cell_length_c 7.6547
_cell_angle_alpha 74.23
_cell_angle_beta 74.23
_cell_angle_gamma 60.00
loop_
_atom_site_label
_atom_site_type_symbol
_atom_site_fract_x
_atom_site_fract_y
_atom_site_fract_z
_atom_site_occupancy
Se1 Se 0.5000 0.5000 0.5000 1
Ru1 Ru 0.0000 0.0000 0.0000 1
Pr1 Pr 0.7426 0.7426 0.7722 1
Pr2 Pr 0.2574 0.2574 0.2278 1
```

***

Name the most stable of them. version w.

***

Version w
Computed, not measured: PrSm2Ru after structural relaxation at the GGA-PBE level of DFT.

Values from the calculation:
The value obtained for the volume is 463.1 Å³/cell. As for the density of states at the Fermi level: 15.71 states/eV per cell.

CIF file:
```
data_PrSm2Ru
_chemical_formula_sum 'Pr4 Sm8 Ru4'
_space_group_name_H-M_alt 'P 1'
_space_group_IT_number 1
_space_group_name_Hall 'P 1'
_cell_length_a 6.4851
_cell_length_b 7.4129
_cell_length_c 9.6330
_cell_angle_alpha 90.00
_cell_angle_beta 90.00
_cell_angle_gamma 90.00
loop_
_atom_site_label
_atom_site_type_symbol
_atom_site_fract_x
_atom_site_fract_y
_atom_site_fract_z
_atom_site_occupancy
Ru1 Ru 0.9431 0.6140 0.7500 1
Ru2 Ru 0.0569 0.3860 0.2500 1
Ru3 Ru 0.4431 0.8860 0.2500 1
Ru4 Ru 0.5569 0.1140 0.7500 1
Pr1 Pr 0.1412 0.9587 0.7500 1
Pr2 Pr 0.3588 0.4587 0.7500 1
Pr3 Pr 0.8588 0.0413 0.2500 1
Pr4 Pr 0.6412 0.5413 0.2500 1
Sm1 Sm 0.3305 0.1762 0.4324 1
Sm2 Sm 0.6695 0.8238 0.9324 1
Sm3 Sm 0.3305 0.1762 0.0676 1
Sm4 Sm 0.1695 0.6762 0.4324 1
Sm5 Sm 0.8305 0.3238 0.5676 1
Sm6 Sm 0.8305 0.3238 0.9324 1
Sm7 Sm 0.1695 0.6762 0.0676 1
Sm8 Sm 0.6695 0.8238 0.5676 1
```

***

Version x
Computed, not measured: PrSm2Ru after structural relaxation at the GGA-PBE level of DFT.

Values from the calculation:
The value obtained for the volume is 114.6 Å³/cell. As for the density of states at the Fermi level: 3.49 states/eV per cell.

CIF file:
```
data_PrSm2Ru
_chemical_formula_sum 'Pr1 Sm2 Ru1'
_space_group_name_H-M_alt 'P 1'
_space_group_IT_number 1
_space_group_name_Hall 'P 1'
_cell_length_a 3.5070
_cell_length_b 3.5070
_cell_length_c 9.3147
_cell_angle_alpha 90.00
_cell_angle_beta 90.00
_cell_angle_gamma 90.00
loop_
_atom_site_label
_atom_site_type_symbol
_atom_site_fract_x
_atom_site_fract_y
_atom_site_fract_z
_atom_site_occupancy
Sm1 Sm 0.0000 0.0000 0.1801 1
Sm2 Sm 0.0000 0.0000 0.8199 1
Pr1 Pr 0.5000 0.5000 0.5000 1
Ru1 Ru 0.5000 0.5000 0.0000 1
```

***

Name the most stable of them. version w.

***

Version w
Computed, not measured: PrSm2Ru after structural relaxation at the GGA-PBE level of DFT.

Values from the calculation:
The value obtained for the volume is 232.1 Å³/cell. As for the density of states at the Fermi level: 7.64 states/eV per cell.

CIF file:
```
data_PrSm2Ru
_chemical_formula_sum 'Pr2 Sm4 Ru2'
_space_group_name_H-M_alt 'P 1'
_space_group_IT_number 1
_space_group_name_Hall 'P 1'
_cell_length_a 3.9690
_cell_length_b 6.4778
_cell_length_c 9.4811
_cell_angle_alpha 90.00
_cell_angle_beta 90.00
_cell_angle_gamma 107.81
loop_
_atom_site_label
_atom_site_type_symbol
_atom_site_fract_x
_atom_site_fract_y
_atom_site_fract_z
_atom_site_occupancy
Sm1 Sm 0.1436 0.2876 0.0703 1
Sm2 Sm 0.8564 0.7124 0.5703 1
Sm3 Sm 0.8564 0.7124 0.9297 1
Sm4 Sm 0.1436 0.2876 0.4297 1
Pr1 Pr 0.4214 0.8424 0.2500 1
Pr2 Pr 0.5786 0.1576 0.7500 1
Ru1 Ru 0.2487 0.4976 0.7500 1
Ru2 Ru 0.7513 0.5024 0.2500 1
```

***

Version x
Computed, not measured: PrSm2Ru after structural relaxation at the GGA-PBE level of DFT.

Values from the calculation:
The value obtained for the volume is 129.1 Å³/cell. As for the density of states at the Fermi level: 5.33 states/eV per cell.

CIF file:
```
data_PrSm2Ru
_chemical_formula_sum 'Pr1 Sm2 Ru1'
_space_group_name_H-M_alt 'P 1'
_space_group_IT_number 1
_space_group_name_Hall 'P 1'
_cell_length_a 3.7421
_cell_length_b 3.7421
_cell_length_c 10.8623
_cell_angle_alpha 80.08
_cell_angle_beta 80.08
_cell_angle_gamma 60.00
loop_
_atom_site_label
_atom_site_type_symbol
_atom_site_fract_x
_atom_site_fract_y
_atom_site_fract_z
_atom_site_occupancy
Pr1 Pr 0.0000 0.0000 0.0000 1
Sm1 Sm 0.1122 0.1122 0.6633 1
Sm2 Sm 0.8878 0.8878 0.3367 1
Ru1 Ru 0.5000 0.5000 0.5000 1
```

***

Name the most stable of them. version w.